Material: TcTe2Br
Method: DFT, GGA-PBE
State: optimized geometry

Values from the calculation:
Formation energy from raw total energies ... 0.795 eV/atom
Distance to the lowest polymorph of the same formula ... 3.92 eV per formula unit
Calculated density ... 6.2 g/cm³

Lattice parameters (Å, degrees): 4.2334 4.2334 6.4685 90.00 90.00 90.00
Space group P4/mmm (No. 123)
Symmetry-distinct sites (fractional):
Tc1 0.0000 0.0000 0.0000
Te1 0.0000 0.5000 0.5000
Br1 0.5000 0.5000 0.0000


Material: TcTe2Br
Method: DFT, GGA-PBE
State: optimized geometry

Values from the calculation:
Formation energy from raw total energies ... 0.182 eV/atom
Distance to the lowest polymorph of the same formula ... 1.47 eV per formula unit
Calculated density ... 6.8 g/cm³

Lattice parameters (Å, degrees): 3.1724 3.1724 10.5813 90.00 90.00 90.00
Space group P4mm (No. 99)
Symmetry-distinct sites (fractional):
Tc1 0.0000 0.0000 0.0000
Te1 0.0000 0.0000 0.4890
Te2 0.5000 0.5000 0.1521
Br1 0.5000 0.5000 0.8358


The records above yield total magnetic moment values of 4.6, 0.0 μB per formula unit, respectively.